VASP calculation (PBE-GGA) on a geometry-optimized ZnPtNO structure.

abc: 6.0124 6.4587 5.2238
angles: 90.00 90.00 90.00
Last column: nearest neighbours and their distance in Å.
Element x y z (fractional)
Zn: 0.1043 0.0840 0.0000  3 N 1.98, 1 O 2.08
Zn: 0.3957 0.0840 0.5000  3 N 1.98, 1 O 2.08
Zn: 0.6043 0.9160 0.0000  3 N 1.98, 1 O 2.08
Zn: 0.8957 0.9160 0.5000  3 N 1.98, 1 O 2.08
Pt: 0.0164 0.4289 0.5363  1 N 1.98, 2 O 1.98-2.00
Pt: 0.4836 0.4289 0.0363  1 N 1.98, 2 O 1.98-2.00
Pt: 0.5164 0.5711 0.5363  1 N 1.98, 2 O 1.98-2.00
Pt: 0.9836 0.5711 0.0363  1 N 1.98, 2 O 1.98-2.00
N: 0.0916 0.1397 0.6272  3 Zn 1.98, 1 Pt 1.98
N: 0.4084 0.1397 0.1272  3 Zn 1.98, 1 Pt 1.98
N: 0.5916 0.8603 0.6272  3 Zn 1.98, 1 Pt 1.98
N: 0.9084 0.8603 0.1272  3 Zn 1.98, 1 Pt 1.98
O: 0.0783 0.6978 0.7039  2 Pt 1.98-2.00, 1 Zn 2.08
O: 0.4217 0.6978 0.2039  2 Pt 1.98-2.00, 1 Zn 2.08
O: 0.5783 0.3022 0.7039  2 Pt 1.98-2.00, 1 Zn 2.08
O: 0.9217 0.3022 0.2039  2 Pt 1.98-2.00, 1 Zn 2.08

Output
* crystal system: orthorhombic
* VASP energy: -4.95 eV/atom
* space-group type: Pca2_1
* spin magnetization: 0.0 μB/f.u.